Entry 1:
The following is a DFT calculation (PBE) of an optimized crystal structure of Ce2EuRh.

total moment = 10.0 μB/f.u.
excess energy over the best structure of this formula in the dataset = 0 meV/atom
space-group type = No. 123
calculated formation energy = -0.25 eV per atom

abc: 3.638 3.638 8.545
angles: 90.00 90.00 90.00
Fractional positions:
Ce (0.000, 0.000, 0.180)
Ce (0.000, 0.000, 0.820)
Eu (0.500, 0.500, 0.500)
Rh (0.500, 0.500, 0.000)


Entry 2:
The following is a DFT calculation (PBE) of an optimized crystal structure of CeEuRh.

total moment = 8.1 μB/f.u.
excess energy over the best structure of this formula in the dataset = 1 meV/atom
space-group type = No. 156
calculated formation energy = -0.38 eV per atom

abc: 4.045 4.045 6.328
angles: 90.00 90.00 120.00
Fractional positions:
Ce (0.000, 0.000, 0.000)
Eu (0.667, 0.333, 0.493)
Rh (0.333, 0.667, 0.782)


Entry 3:
The following is a DFT calculation (PBE) of an optimized crystal structure of CeEuRh4.

total moment = 7.0 μB/f.u.
space-group type = No. 216
calculated formation energy = -0.60 eV per atom

abc: 5.378 5.378 5.378
angles: 60.00 60.00 60.00
Fractional positions:
Ce (0.000, 0.000, 0.000)
Eu (0.250, 0.250, 0.250)
Rh (0.125, 0.625, 0.625)
Rh (0.625, 0.125, 0.625)
Rh (0.625, 0.625, 0.125)
Rh (0.625, 0.625, 0.625)


Entry 4:
The following is a DFT calculation (PBE) of an optimized crystal structure of CeEuZnRh.

total moment = 7.3 μB/f.u.
space-group type = No. 216
calculated formation energy = -0.36 eV per atom

abc: 5.053 5.053 5.053
angles: 60.00 60.00 60.00
Fractional positions:
Ce (0.000, 0.000, 0.000)
Eu (0.500, 0.500, 0.500)
Zn (0.250, 0.250, 0.250)
Rh (0.750, 0.750, 0.750)


Entry 5:
The following is a DFT calculation (PBE) of an optimized crystal structure of CeEuRu.

total moment = 7.4 μB/f.u.
excess energy over the best structure of this formula in the dataset = 0 meV/atom
space-group type = No. 107
calculated formation energy = -0.12 eV per atom

abc: 7.043 7.043 7.043
angles: 151.37 151.37 40.93
Fractional positions:
Ce (0.000, 0.000, 0.000)
Eu (0.742, 0.742, 0.000)
Ru (0.399, 0.399, 0.000)


Entry 6:
The following is a DFT calculation (PBE) of an optimized crystal structure of CeEuRu.

total moment = 7.5 μB/f.u.
excess energy over the best structure of this formula in the dataset = 130 meV/atom
space-group type = No. 216
calculated formation energy = 0.01 eV per atom

abc: 4.848 4.848 4.848
angles: 60.00 60.00 60.00
Fractional positions:
Ce (0.000, 0.000, 0.000)
Eu (0.500, 0.500, 0.500)
Ru (0.250, 0.250, 0.250)